(1)
This record from Alexandria via LeMat-Bulk describes crystalline SiHgOs2 at its relaxed geometry. The functional is GGA-PBE.

```
data_SiHgOs2
_chemical_formula_sum 'Si1 Hg1 Os2'
_symmetry_space_group_name_H-M 'P 4 m m'
_symmetry_Int_Tables_number 99
_cell_length_a 2.832
_cell_length_b 2.832
_cell_length_c 8.360
_cell_angle_alpha 90.00
_cell_angle_beta 90.00
_cell_angle_gamma 90.00
loop_
_symmetry_equiv_pos_as_xyz
'x,y,z'
'-y,x,z'
'-x,-y,z'
'y,-x,z'
'-x,y,z'
'y,x,z'
'x,-y,z'
'-y,-x,z'
loop_
_atom_site_label
_atom_site_type_symbol
_atom_site_fract_x
_atom_site_fract_y
_atom_site_fract_z
Si1 Si 0.000 0.000 0.000
Hg1 Hg 0.500 0.500 0.322
Os1 Os 0.000 0.000 0.589
Os2 Os 0.500 0.500 0.792
```

Output
Calculated total energy, eV/cell: -26.60
Relative energy among the computed polymorphs, meV per atom: 137
Total moment, μB/cell: 0.0


(2)
This record from Alexandria via LeMat-Bulk describes crystalline La2MgOs2 at its relaxed geometry. The functional is GGA-PBE.

```
data_La2MgOs2
_chemical_formula_sum 'La4 Mg2 Os4'
_symmetry_space_group_name_H-M 'I m m m'
_symmetry_Int_Tables_number 71
_symmetry_space_group_name_Hall '-I 2 2'
_cell_length_a 4.626
_cell_length_b 5.716
_cell_length_c 8.910
_cell_angle_alpha 90.00
_cell_angle_beta 90.00
_cell_angle_gamma 90.00
loop_
_atom_site_label
_atom_site_type_symbol
_atom_site_fract_x
_atom_site_fract_y
_atom_site_fract_z
La1 La 0.000 0.000 0.205
Mg1 Mg 0.000 0.500 0.000
Os1 Os 0.000 0.282 0.500
```

Output
Calculated total energy, eV/cell: -68.42
Relative energy among the computed polymorphs, meV per atom: 0
Total moment, μB/cell: 0.0


(3)
This record from Alexandria via LeMat-Bulk describes crystalline Li2LaCd10 at its relaxed geometry. The functional is GGA-PBE.

```
data_Li2LaCd10
_chemical_formula_sum 'Li8 La4 Cd40'
_symmetry_space_group_name_H-M 'F m m m'
_symmetry_Int_Tables_number 69
_symmetry_space_group_name_Hall '-F 2 2'
_cell_length_a 5.556
_cell_length_b 14.340
_cell_length_c 14.353
_cell_angle_alpha 90.00
_cell_angle_beta 90.00
_cell_angle_gamma 90.00
loop_
_atom_site_label
_atom_site_type_symbol
_atom_site_fract_x
_atom_site_fract_y
_atom_site_fract_z
Li1 Li 0.250 0.000 0.250
La1 La 0.000 0.000 0.000
Cd1 Cd 0.000 0.103 0.387
Cd2 Cd 0.000 0.168 0.181
Cd3 Cd 0.250 0.250 0.000
```

Output
Calculated total energy, eV/cell: -82.45
Total moment, μB/cell: 0.0


What is the total moment in the first record? 0.0 μB/cell